# GGA-PBE ZrAl3In, relaxed
data_ZrAl3In
_cell_length_a 5.028
_cell_length_b 5.028
_cell_length_c 5.028
_cell_angle_alpha 90.00
_cell_angle_beta 90.00
_cell_angle_gamma 90.00
_symmetry_space_group_name_H-M 'P m -3 m'
_symmetry_Int_Tables_number 221
_symmetry_space_group_name_Hall '-P 4 2 3'
loop_
_atom_site_label
_atom_site_fract_x
_atom_site_fract_y
_atom_site_fract_z
_atom_site_occupancy
Zr1 0.000 0.000 0.000 1
Al1 0.000 0.500 0.500 1
In1 0.500 0.500 0.500 1
# Energy above the most stable polymorph in this dataset ... 193 meV per atom
# Crystal system ... cubic
# Density of states at the Fermi level ... 5.81 states/eV/f.u.
# Energy ... -3.4967 eV per atom

***

# GGA-PBE Y2Tm2Ga4Au, relaxed
data_Y2Tm2Ga4Au
_cell_length_a 7.009
_cell_length_b 7.009
_cell_length_c 8.779
_cell_angle_alpha 90.00
_cell_angle_beta 90.00
_cell_angle_gamma 90.00
_symmetry_space_group_name_H-M 'I 4/m m m'
_symmetry_Int_Tables_number 139
_symmetry_space_group_name_Hall '-I 4 2'
loop_
_atom_site_label
_atom_site_fract_x
_atom_site_fract_y
_atom_site_fract_z
_atom_site_occupancy
Y1 0.000 0.500 0.250 1
Tm1 0.000 0.000 0.186 1
Ga1 0.245 0.245 0.000 1
Au1 0.000 0.000 0.500 1
# Crystal system ... tetragonal
# Density of states at the Fermi level ... 6.57 states/eV/f.u.
# Energy ... -4.4979 eV per atom

***

- Which formula does entry 1 have?
  ZrAl3In